A relaxed SiTe2Mo crystal. Source: the Alexandria database, functional PBE.

Geometry as extended XYZ:
```
4
Lattice="-2.198 2.198 4.230 2.198 -2.198 4.230 2.198 2.198 -4.230" Properties=species:S:1:pos:R:3 pbc="T T T"
Si 0.000 0.000 0.000
Te 2.198 0.000 2.115
Te 0.000 0.000 4.230
Mo 0.000 2.198 2.115
```

Summary:
Symmetry: No. 119
E_tot (eV per formula unit): -19.47
Formation energy from raw total energies (eV per atom): 0.766

---

A relaxed SiTe2Mo crystal. Source: the Alexandria database, functional PBE.

Geometry as extended XYZ:
```
4
Lattice="-1.751 1.771 8.023 1.751 -1.771 8.023 1.751 1.771 -8.023" Properties=species:S:1:pos:R:3 pbc="T T T"
Si 0.000 0.000 0.000
Te 1.751 0.000 5.722
Te 0.000 1.771 2.301
Mo 0.000 0.000 8.023
```

Summary:
Symmetry: No. 71
E_tot (eV per formula unit): -22.21
Formation energy from raw total energies (eV per atom): 0.082

---

A relaxed SiTeMo2 crystal. Source: the Alexandria database, functional PBE.

Geometry as extended XYZ:
```
4
Lattice="-1.754 2.494 3.980 1.754 -2.494 3.980 1.754 2.494 -3.980" Properties=species:S:1:pos:R:3 pbc="T T T"
Si 0.000 0.000 0.000
Te 0.000 0.000 3.980
Mo 1.754 0.000 1.655
Mo 0.000 2.494 2.325
```

Summary:
Symmetry: No. 71
E_tot (eV per formula unit): -28.83
Relative energy among the computed polymorphs (eV per atom): 0.325
Formation energy from raw total energies (eV per atom): 0.349

---

A relaxed SiTeMo2 crystal. Source: the Alexandria database, functional PBE.

Geometry as extended XYZ:
```
4
Lattice="3.279 0.000 0.000 0.000 4.134 0.000 0.000 0.000 5.100" Properties=species:S:1:pos:R:3 pbc="T T T"
Si 0.000 0.000 0.000
Te 1.639 0.000 2.550
Mo 0.000 2.067 2.550
Mo 1.639 2.067 0.000
```

Summary:
Symmetry: No. 47
E_tot (eV per formula unit): -28.11
Relative energy among the computed polymorphs (eV per atom): 0.505
Formation energy from raw total energies (eV per atom): 0.529

---

A relaxed SiTe2Mo crystal. Source: the Alexandria database, functional PBE.

Geometry as extended XYZ:
```
4
Lattice="3.345 0.000 0.000 0.000 3.345 0.000 0.000 0.000 7.964" Properties=species:S:1:pos:R:3 pbc="T T T"
Si 0.000 0.000 0.000
Te 0.000 0.000 5.087
Te 1.672 1.672 1.665
Mo 1.672 1.672 6.806
```

Summary:
Symmetry: No. 99
E_tot (eV per formula unit): -22.61
Formation energy from raw total energies (eV per atom): -0.017

---

A relaxed SiTe2Mo crystal. Source: the Alexandria database, functional PBE.

Geometry as extended XYZ:
```
4
Lattice="1.819 -2.479 0.000 1.819 2.479 0.000 0.000 0.000 10.018" Properties=species:S:1:pos:R:3 pbc="T T T"
Si 0.000 0.000 0.000
Te 0.000 0.000 3.853
Te 1.819 0.000 7.301
Mo 1.819 0.000 1.727
```

Summary:
Symmetry: No. 35
E_tot (eV per formula unit): -20.83
Formation energy from raw total energies (eV per atom): 0.427